A relaxed structure of BaSc2Ru. Source: Alexandria, functional PBE.

Cell and atoms, written as POSCAR:
```
BaSc2Ru
1.0
1.907 0.000 11.056
-0.953 1.651 11.056
-0.953 -1.651 11.056
Sc Ba Ru
2 1 1
direct
0.070 0.070 0.070
0.930 0.930 0.930
0.500 0.500 0.500
0.000 0.000 0.000
```

Calculated values
VASP energy ... -21.58 eV per formula unit
ρ ... 5.220 g/cm3
Fermi-level density of states ... 4.73 states/eV per cell
Energy relative to the lowest polymorph listed for this composition ... 0.738 eV per atom

A relaxed structure of Gd2DyTm. Source: Alexandria, functional PBE.

Cell and atoms, written as POSCAR:
```
Gd2DyTm
1.0
5.649 0.000 0.000
2.824 4.892 0.000
2.824 1.631 4.612
Gd Dy Tm
2 1 1
direct
0.250 0.250 0.250
0.750 0.750 0.750
0.000 0.000 0.000
0.500 0.500 0.500
```

Calculated values
VASP energy ... -36.83 eV per formula unit
ρ ... 8.416 g/cm3
Fermi-level density of states ... 7.24 states/eV per cell
Energy relative to the lowest polymorph listed for this composition ... 0.073 eV per atom

A relaxed structure of TcP3. Source: Alexandria, functional PBE.

Cell and atoms, written as POSCAR:
```
TcP3
1.0
2.370 -6.627 0.000
2.370 6.627 0.000
0.000 0.000 4.056
P Tc
6 2
direct
0.040 0.960 0.750
0.960 0.040 0.250
0.978 0.564 0.250
0.564 0.978 0.750
0.022 0.436 0.750
0.436 0.022 0.250
0.446 0.554 0.750
0.554 0.446 0.250
```

Calculated values
VASP energy ... -25.47 eV per formula unit
ρ ... 4.976 g/cm3
Fermi-level density of states ... 4.65 states/eV per cell
Energy relative to the lowest polymorph listed for this composition ... 0.726 eV per atom